Entry 1:
LiY2Ni2 | GGA-PBEsol | relaxed

Energy above the most stable polymorph in this dataset   192 meV per atom
D(E_F)   0.50 states/eV per atom
Formation enthalpy at 0 K   -0.082 eV/atom

Lattice parameters (Å, degrees): 5.107 5.261 5.107 60.97 90.00 119.03
Positions (direct):
Ni: 0.350 0.700 0.650
Ni: 0.650 0.300 0.350
Li: 0.000 0.000 0.000
Y: 0.750 0.500 0.750
Y: 0.250 0.500 0.250

Entry 2:
Sc3FeH | GGA-PBEsol | relaxed

D(E_F)   1.41 states/eV per atom
Total energy   -6.43 eV per atom

Lattice parameters (Å, degrees): 4.280 4.280 4.280 90.00 90.00 90.00
Positions (direct):
Sc: 0.000 0.500 0.000
Sc: 0.000 0.000 0.500
Sc: 0.500 0.000 0.000
H: 0.000 0.000 0.000
Fe: 0.500 0.500 0.500

Entry 3:
Ca2MoOs | GGA-PBEsol | relaxed

Energy above the most stable polymorph in this dataset   2 meV per atom
D(E_F)   0.78 states/eV per atom
Formation enthalpy at 0 K   0.758 eV/atom

Lattice parameters (Å, degrees): 3.882 3.882 5.669 110.02 110.02 90.00
Positions (direct):
Ca: 0.750 0.250 0.500
Ca: 0.250 0.750 0.500
Os: 0.000 0.000 0.000
Mo: 0.500 0.500 0.000

Entry 4:
MnAg2SbPb | GGA-PBEsol | relaxed

D(E_F)   0.60 states/eV per atom
Total energy   -3.96 eV per atom

Lattice parameters (Å, degrees): 5.091 5.142 5.142 90.00 90.00 90.00
Positions (direct):
Sb: 0.500 0.500 0.500
Ag: 0.000 0.000 0.500
Ag: 0.000 0.500 0.000
Mn: 0.500 0.000 0.000
Pb: 0.000 0.000 0.000

Entry 5:
CrCuAs2 | GGA-PBEsol | relaxed

D(E_F)   0.41 states/eV per atom
Formation enthalpy at 0 K   0.472 eV/atom

Lattice parameters (Å, degrees): 4.418 4.418 4.418 60.00 60.00 60.00
Positions (direct):
As: 0.000 0.000 0.000
As: 0.750 0.750 0.750
Cr: 0.500 0.500 0.500
Cu: 0.250 0.250 0.250

Entry 6:
TlCd2As | GGA-PBEsol | relaxed

Energy above the most stable polymorph in this dataset   35 meV per atom
D(E_F)   0.36 states/eV per atom
Formation enthalpy at 0 K   0.125 eV/atom

Lattice parameters (Å, degrees): 3.271 3.271 8.430 90.00 90.00 90.20
Positions (direct):
Cd: 0.000 0.000 0.008
Cd: 0.500 0.500 0.775
As: 0.500 0.500 0.225
Tl: 0.000 0.000 0.493

Entry 7:
Dy5P12Ir19 | GGA-PBEsol | relaxed

D(E_F)   0.37 states/eV per atom
Formation enthalpy at 0 K   -0.844 eV/atom

Lattice parameters (Å, degrees): 3.927 12.579 12.579 120.00 90.00 90.00
Positions (direct):
Dy: 0.500 0.667 0.333
Dy: 0.000 0.816 0.000
Dy: 0.000 0.184 0.184
Dy: 0.500 0.333 0.667
Dy: 0.000 0.000 0.816
Ir: 0.000 0.868 0.508
Ir: 0.000 0.132 0.640
Ir: 0.500 0.537 0.537
Ir: 0.500 0.196 0.819
Ir: 0.500 0.463 0.000
Ir: 0.000 0.000 0.285
Ir: 0.000 0.508 0.868
Ir: 0.500 0.000 0.463
Ir: 0.500 0.804 0.624
Ir: 0.000 0.640 0.132
Ir: 0.500 0.000 0.000
Ir: 0.500 0.376 0.181
Ir: 0.000 0.285 0.000
Ir: 0.000 0.715 0.715
Ir: 0.000 0.492 0.360
Ir: 0.500 0.181 0.376
Ir: 0.500 0.819 0.196
Ir: 0.500 0.624 0.804
Ir: 0.000 0.360 0.492
P: 0.000 0.171 0.483
P: 0.000 0.313 0.829
P: 0.500 0.356 0.356
P: 0.500 0.000 0.644
P: 0.000 0.687 0.517
P: 0.000 0.829 0.313
P: 0.500 0.644 0.000
P: 0.000 0.517 0.687
P: 0.500 0.000 0.178
P: 0.500 0.822 0.822
P: 0.000 0.483 0.171
P: 0.500 0.178 0.000

Entry 8:
LiTl2As | GGA-PBEsol | relaxed

Energy above the most stable polymorph in this dataset   138 meV per atom
D(E_F)   0.37 states/eV per atom
Formation enthalpy at 0 K   -0.061 eV/atom

Lattice parameters (Å, degrees): 3.555 3.902 6.657 90.00 90.00 90.00
Positions (direct):
Tl: 0.000 0.000 0.759
Tl: 0.000 0.000 0.241
As: 0.500 0.500 0.000
Li: 0.500 0.500 0.500

Entry 9:
Re2NiHg | GGA-PBEsol | relaxed

D(E_F)   0.96 states/eV per atom
Formation enthalpy at 0 K   0.564 eV/atom

Lattice parameters (Å, degrees): 3.014 3.014 6.595 90.00 90.00 90.00
Positions (direct):
Re: 0.000 0.000 0.691
Re: 0.000 0.000 0.309
Ni: 0.500 0.500 0.500
Hg: 0.500 0.500 0.000

Entry 10:
LiHgBr2 | GGA-PBEsol | relaxed

Energy above the most stable polymorph in this dataset   0 meV per atom
D(E_F)   0.63 states/eV per atom

Lattice parameters (Å, degrees): 3.995 3.995 7.312 74.15 74.15 60.00
Positions (direct):
Li: 0.000 0.000 0.000
Br: 0.736 0.736 0.793
Br: 0.264 0.264 0.207
Hg: 0.500 0.500 0.500

Entry 11:
ZnSiAu2 | GGA-PBEsol | relaxed

D(E_F)   0.25 states/eV per atom
Total energy   -3.88 eV per atom

Lattice parameters (Å, degrees): 3.505 3.505 5.185 90.00 90.00 90.00
Positions (direct):
Au: 0.500 0.500 0.290
Au: 0.000 0.000 0.963
Zn: 0.500 0.500 0.778
Si: 0.000 0.000 0.468

Entry 12:
HgRu2Pt | GGA-PBEsol | relaxed

D(E_F)   0.64 states/eV per atom
Formation enthalpy at 0 K   0.132 eV/atom

Lattice parameters (Å, degrees): 2.768 2.768 7.972 90.00 90.00 90.00
Positions (direct):
Ru: 0.500 0.500 0.220
Ru: 0.000 0.000 0.015
Hg: 0.000 0.000 0.493
Pt: 0.500 0.500 0.772